1.
VASP calculation (GGA-PBE) on a geometry-optimized ScBeFeTe2 structure.

```
5
Lattice="4.9144 0.0000 0.0000 0.0000 4.9144 0.0000 0.0000 0.0000 4.5452" Properties=species:S:1:pos:R:3 pbc="T T T"
Sc 0.0000 0.0000 0.0000
Be 0.0000 0.0000 2.2726
Fe 2.4572 2.4572 0.0000
Te 0.0000 2.4572 2.2726
Te 2.4572 0.0000 2.2726
```

Calculated values
The calculation puts the density of states at the Fermi level at 3.314 states/eV/f.u. Its calculated volume is 21.954 A^3/atom. Its density is 5.5 g/cm³. The calculation puts the total moment at 2.894 μB/cell. Its formation energy from raw total energies is 0.53 eV/atom.


2.
VASP calculation (GGA-PBE) on a geometry-optimized ScTiBeFe2 structure.

```
5
Lattice="4.2003 0.0000 0.0000 0.0000 4.2003 0.0000 0.0000 0.0000 4.4280" Properties=species:S:1:pos:R:3 pbc="T T T"
Sc 0.0000 0.0000 0.0000
Ti 2.1002 2.1002 2.2140
Be 0.0000 0.0000 2.2140
Fe 0.0000 2.1002 0.0000
Fe 2.1002 0.0000 0.0000
```

Calculated values
The calculation puts the density of states at the Fermi level at 8.091 states/eV/f.u. Its calculated volume is 15.624 A^3/atom. Its density is 4.5 g/cm³. The calculation puts the total moment at 0.000 μB/cell. The total energy is -0.4127 Ry/atom.


3.
VASP calculation (GGA-PBE) on a geometry-optimized TmScBeFe structure.

```
4
Lattice="0.0000 3.2248 3.2248 3.2248 0.0000 3.2248 3.2248 3.2248 0.0000" Properties=species:S:1:pos:R:3 pbc="T T T"
Tm 0.0000 0.0000 0.0000
Sc 3.2248 3.2248 3.2248
Be 1.6124 1.6124 1.6124
Fe 4.8372 4.8372 4.8372
```

Calculated values
The calculation puts the density of states at the Fermi level at 4.008 states/eV/f.u. Its calculated volume is 16.768 A^3/atom. Its density is 6.9 g/cm³. The calculation puts the total moment at 0.000 μB/cell. The total energy is -0.4208 Ry/atom.


4.
VASP calculation (GGA-PBE) on a geometry-optimized YSc2BeFe structure.

```
5
Lattice="4.7469 0.0000 0.0000 0.0000 4.7469 0.0000 0.0000 0.0000 5.1182" Properties=species:S:1:pos:R:3 pbc="T T T"
Y 0.0000 0.0000 0.0000
Sc 0.0000 2.3734 2.5591
Sc 2.3734 0.0000 2.5591
Be 2.3734 2.3734 0.0000
Fe 0.0000 0.0000 2.5591
```

Calculated values
The calculation puts the density of states at the Fermi level at 3.236 states/eV/f.u. Its calculated volume is 23.065 A^3/atom. Its density is 3.5 g/cm³. The calculation puts the total moment at 0.000 μB/cell. The total energy is -0.4316 Ry/atom.


5.
VASP calculation (GGA-PBE) on a geometry-optimized BeFeSe2 structure.

```
4
Lattice="4.3968 0.0000 0.0000 0.0000 4.3968 0.0000 0.0000 0.0000 3.1060" Properties=species:S:1:pos:R:3 pbc="T T T"
Be 0.0000 0.0000 0.0000
Fe 2.1984 2.1984 0.0000
Se 0.0000 2.1984 1.5530
Se 2.1984 0.0000 1.5530
```

Calculated values
The calculation puts the density of states at the Fermi level at 3.800 states/eV/f.u. Its calculated volume is 15.011 A^3/atom. Its density is 6.2 g/cm³. The calculation puts the total moment at 2.347 μB/cell. Its formation energy from raw total energies is 0.44 eV/atom.


6.
VASP calculation (GGA-PBE) on a geometry-optimized Be2FeSe structure.

```
4
Lattice="-1.7025 1.7081 3.7432 1.7025 -1.7081 3.7432 1.7025 1.7081 -3.7432" Properties=species:S:1:pos:R:3 pbc="T T T"
Be 0.0000 0.0000 1.8712
Be 0.0000 0.0000 5.6151
Fe 0.0000 1.7081 0.0000
Se 1.7025 0.0000 0.0000
```

Calculated values
The calculation puts the density of states at the Fermi level at 2.877 states/eV/f.u. Its calculated volume is 10.886 A^3/atom. Its density is 5.8 g/cm³. The calculation puts the total moment at 0.864 μB/cell. Its formation energy from raw total energies is 0.28 eV/atom.


7.
VASP calculation (GGA-PBE) on a geometry-optimized BeFeSe2 structure.

```
4
Lattice="0.0000 3.1590 3.1590 3.1590 0.0000 3.1590 3.1590 3.1590 0.0000" Properties=species:S:1:pos:R:3 pbc="T T T"
Be 0.0000 0.0000 0.0000
Fe 1.5795 1.5795 1.5795
Se 3.1590 3.1590 3.1590
Se 4.7385 4.7385 4.7385
```

Calculated values
The calculation puts the density of states at the Fermi level at 3.894 states/eV/f.u. Its calculated volume is 15.762 A^3/atom. Its density is 5.9 g/cm³. The calculation puts the total moment at 2.507 μB/cell. Its formation energy from raw total energies is 0.79 eV/atom.


8.
VASP calculation (GGA-PBE) on a geometry-optimized Be2FeSe structure.

```
4
Lattice="3.6147 -1.4095 0.0000 3.6147 1.4095 0.0000 -0.6243 0.0000 5.1233" Properties=species:S:1:pos:R:3 pbc="T T T"
Be 0.0000 0.0000 0.0000
Be 4.5642 0.0000 4.2515
Fe 2.0408 0.0000 0.7383
Se 4.2305 0.0000 2.0163
```

Calculated values
The calculation puts the density of states at the Fermi level at 0.589 states/eV/f.u. Its calculated volume is 13.051 A^3/atom. Its density is 4.9 g/cm³. The calculation puts the total moment at 0.000 μB/cell. Its formation energy from raw total energies is 0.09 eV/atom.


9.
VASP calculation (GGA-PBE) on a geometry-optimized Be2FeSe structure.

```
4
Lattice="2.3751 -2.9814 0.0000 2.3751 2.9814 0.0000 0.0000 0.0000 3.1949" Properties=species:S:1:pos:R:3 pbc="T T T"
Be 1.1875 1.4907 0.0000
Be 1.1875 -1.4907 0.0000
Fe 0.0000 0.0000 1.5974
Se 2.3751 0.0000 1.5974
```

Calculated values
The calculation puts the density of states at the Fermi level at 2.590 states/eV/f.u. Its calculated volume is 11.312 A^3/atom. Its density is 5.6 g/cm³. The calculation puts the total moment at 1.432 μB/cell. Its formation energy from raw total energies is 0.26 eV/atom.


10.
VASP calculation (GGA-PBE) on a geometry-optimized BeFeSe2 structure.

```
4
Lattice="3.1213 0.0000 0.0000 0.0000 3.1213 0.0000 0.0000 0.0000 6.1819" Properties=species:S:1:pos:R:3 pbc="T T T"
Be 0.0000 0.0000 0.0000
Fe 0.0000 0.0000 3.0910
Se 1.5607 1.5607 1.5347
Se 1.5607 1.5607 4.6472
```

Calculated values
The calculation puts the density of states at the Fermi level at 3.242 states/eV/f.u. Its calculated volume is 15.057 A^3/atom. Its density is 6.1 g/cm³. The calculation puts the total moment at 2.746 μB/cell. Its formation energy from raw total energies is 0.39 eV/atom.


11.
VASP calculation (GGA-PBE) on a geometry-optimized BeFe4Se structure.

```
6
Lattice="0.0000 3.3545 3.3545 3.3545 0.0000 3.3545 3.3545 3.3545 0.0000" Properties=species:S:1:pos:R:3 pbc="T T T"
Be 0.0000 0.0000 0.0000
Fe 4.1989 2.5100 2.5100
Fe 2.5100 4.1989 2.5100
Fe 2.5100 2.5100 4.1989
Fe 4.1989 4.1989 4.1989
Se 1.6772 1.6772 1.6772
```

Calculated values
The calculation puts the density of states at the Fermi level at 5.176 states/eV/f.u. Its calculated volume is 12.582 A^3/atom. Its density is 6.8 g/cm³. The calculation puts the total moment at 7.776 μB/cell. Its formation energy from raw total energies is 0.43 eV/atom.


12.
VASP calculation (GGA-PBE) on a geometry-optimized BeFeSe3 structure.

```
5
Lattice="4.7219 0.0000 0.0000 0.0000 4.7219 0.0000 0.0000 0.0000 4.7219" Properties=species:S:1:pos:R:3 pbc="T T T"
Be 0.0000 0.0000 0.0000
Fe 2.3610 2.3610 2.3610
Se 0.0000 2.3610 2.3610
Se 2.3610 0.0000 2.3610
Se 2.3610 2.3610 0.0000
```

Calculated values
The calculation puts the density of states at the Fermi level at 4.740 states/eV/f.u. Its calculated volume is 21.056 A^3/atom. Its density is 4.8 g/cm³. The calculation puts the total moment at 2.996 μB/cell. Its formation energy from raw total energies is 0.71 eV/atom.


13.
VASP calculation (GGA-PBE) on a geometry-optimized Be2FeSe structure.

```
4
Lattice="2.9282 0.0000 0.0000 0.0000 3.2571 0.0000 0.0000 0.0000 5.2309" Properties=species:S:1:pos:R:3 pbc="T T T"
Be 0.0000 0.0000 1.0103
Be 0.0000 0.0000 4.2206
Fe 1.4641 1.6285 0.0000
Se 0.0000 1.6285 2.6155
```

Calculated values
The calculation puts the density of states at the Fermi level at 2.207 states/eV/f.u. Its calculated volume is 12.473 A^3/atom. Its density is 5.1 g/cm³. The calculation puts the total moment at 1.927 μB/cell. Its formation energy from raw total energies is 0.20 eV/atom.


14.
VASP calculation (GGA-PBE) on a geometry-optimized BeFeSe3 structure.

```
5
Lattice="4.4679 0.0000 0.0000 0.0000 4.4679 0.0000 0.0000 0.0000 4.4679" Properties=species:S:1:pos:R:3 pbc="T T T"
Be 0.0000 0.0000 0.0000
Fe 2.2340 2.2340 2.2340
Se 0.0000 0.0000 2.2340
Se 0.0000 2.2340 0.0000
Se 2.2340 0.0000 0.0000
```

Calculated values
The calculation puts the density of states at the Fermi level at 5.044 states/eV/f.u. Its calculated volume is 17.838 A^3/atom. Its density is 5.6 g/cm³. The calculation puts the total moment at 0.000 μB/cell. Its formation energy from raw total energies is 0.83 eV/atom.


15.
VASP calculation (GGA-PBE) on a geometry-optimized BeFe3Se structure.

```
5
Lattice="4.3098 0.0000 0.0000 0.0000 4.3098 0.0000 0.0000 0.0000 4.3098" Properties=species:S:1:pos:R:3 pbc="T T T"
Be 0.0000 0.0000 0.0000
Fe 0.0000 2.1549 2.1549
Fe 2.1549 0.0000 2.1549
Fe 2.1549 2.1549 0.0000
Se 2.1549 2.1549 2.1549
```

Calculated values
The calculation puts the density of states at the Fermi level at 2.095 states/eV/f.u. Its calculated volume is 16.010 A^3/atom. Its density is 5.3 g/cm³. The calculation puts the total moment at 6.048 μB/cell. Its formation energy from raw total energies is 0.93 eV/atom.


16.
VASP calculation (GGA-PBE) on a geometry-optimized Be2FeSe structure.

```
8
Lattice="-3.2449 3.2449 2.4016 3.2449 -3.2449 2.4016 3.2449 3.2449 -2.4016" Properties=species:S:1:pos:R:3 pbc="T T T"
Be 1.6224 1.4975 -0.6004
Be 1.7474 -1.6224 3.0020
Be 1.6224 1.7474 1.8012
Be 1.4975 4.8673 0.6004
Fe 3.2449 0.0000 1.2008
Fe 0.0000 0.0000 2.4016
Se 0.0000 0.0000 0.0000
Se 0.0000 3.2449 1.2008
```

Calculated values
The calculation puts the density of states at the Fermi level at 2.640 states/eV/f.u. Its calculated volume is 12.643 A^3/atom. Its density is 5.0 g/cm³. The calculation puts the total moment at 4.156 μB/cell. Its formation energy from raw total energies is 0.45 eV/atom.


17.
VASP calculation (GGA-PBE) on a geometry-optimized Be2FeSe structure.

```
4
Lattice="3.0935 0.0000 0.0000 0.0000 3.0935 0.0000 0.0000 0.0000 4.6672" Properties=species:S:1:pos:R:3 pbc="T T T"
Be 0.0000 0.0000 1.0554
Be 0.0000 0.0000 3.6118
Fe 1.5467 1.5467 0.0000
Se 1.5467 1.5467 2.3336
```

Calculated values
The calculation puts the density of states at the Fermi level at 1.830 states/eV/f.u. Its calculated volume is 11.166 A^3/atom. Its density is 5.7 g/cm³. The calculation puts the total moment at 1.427 μB/cell. Its formation energy from raw total energies is 0.10 eV/atom.


18.
VASP calculation (GGA-PBE) on a geometry-optimized BeFe3Se structure.

```
5
Lattice="3.8898 0.0000 0.0000 0.0000 3.8898 0.0000 0.0000 0.0000 3.8898" Properties=species:S:1:pos:R:3 pbc="T T T"
Be 0.0000 0.0000 0.0000
Fe 0.0000 0.0000 1.9449
Fe 0.0000 1.9449 0.0000
Fe 1.9449 0.0000 0.0000
Se 1.9449 1.9449 1.9449
```

Calculated values
The calculation puts the density of states at the Fermi level at 7.830 states/eV/f.u. Its calculated volume is 11.771 A^3/atom. Its density is 7.2 g/cm³. The calculation puts the total moment at 0.002 μB/cell. Its formation energy from raw total energies is 0.83 eV/atom.


19.
VASP calculation (GGA-PBE) on a geometry-optimized Be2FeSe structure.

```
4
Lattice="3.9245 -1.6263 0.0000 3.9245 1.6263 0.0000 -0.8360 0.0000 3.6884" Properties=species:S:1:pos:R:3 pbc="T T T"
Be 1.6436 0.0000 0.6189
Be 5.3694 0.0000 3.0695
Fe 3.9245 0.0000 0.0000
Se -0.4180 0.0000 1.8442
```

Calculated values
The calculation puts the density of states at the Fermi level at 2.057 states/eV/f.u. Its calculated volume is 11.770 A^3/atom. Its density is 5.4 g/cm³. The calculation puts the total moment at 1.425 μB/cell. Its formation energy from raw total energies is 0.30 eV/atom.


20.
VASP calculation (GGA-PBE) on a geometry-optimized Be4FeSe structure.

```
6
Lattice="0.0000 3.0850 3.0850 3.0850 0.0000 3.0850 3.0850 3.0850 0.0000" Properties=species:S:1:pos:R:3 pbc="T T T"
Be 2.3332 2.3332 2.3332
Be 3.8368 3.8368 2.3332
Be 3.8368 2.3332 3.8368
Be 2.3332 3.8368 3.8368
Fe 4.6275 4.6275 4.6275
Se 0.0000 0.0000 0.0000
```

Calculated values
The calculation puts the density of states at the Fermi level at 1.599 states/eV/f.u. Its calculated volume is 9.787 A^3/atom. Its density is 4.8 g/cm³. The calculation puts the total moment at 0.002 μB/cell. Its formation energy from raw total energies is 0.18 eV/atom.